Entry 1:
Material: Rb6H3ClF2
Method: DFT, PBE-GGA
State: optimized geometry

abc: 9.6074 9.6074 8.6424
angles: 102.79 102.79 25.68
Fractional coordinates of all 12 atoms:
Rb 0.0032 0.0032 0.2756
Rb 0.3258 0.3258 0.8990
Rb 0.3296 0.3296 0.4256
Rb 0.6704 0.6704 0.5744
Rb 0.6742 0.6742 0.1010
Rb 0.9968 0.9968 0.7244
H 0.1674 0.1674 0.8273
H 0.5000 0.5000 0.5000
H 0.8326 0.8326 0.1727
Cl 0.5000 0.5000 0.0000
F 0.1709 0.1709 0.3422
F 0.8291 0.8291 0.6578

SG ... No. 12
Energy ... -36.79 eV for the cell shown


Entry 2:
Material: HS2ClF
Method: DFT, PBE-GGA
State: optimized geometry

abc: 3.5081 3.5081 6.3011
angles: 90.00 90.00 90.00
Fractional coordinates of all 5 atoms:
H 0.0000 0.0000 0.0000
S 0.0000 0.5000 0.0000
S 0.5000 0.0000 0.0000
Cl 0.0000 0.0000 0.5000
F 0.5000 0.5000 0.5000

SG ... No. 123
ΔE to the lowest computed polymorph ... 0.000 eV per atom
Energy ... -12.12 eV for the cell shown


Entry 3:
Material: HS2ClF
Method: DFT, PBE-GGA
State: optimized geometry

abc: 4.0747 4.0747 6.7990
angles: 90.00 90.00 90.00
Fractional coordinates of all 5 atoms:
H 0.0000 0.0000 0.0000
S 0.0000 0.5000 0.5000
S 0.5000 0.0000 0.5000
Cl 0.5000 0.5000 0.0000
F 0.5000 0.5000 0.5000

SG ... No. 123
ΔE to the lowest computed polymorph ... 0.505 eV per atom
Energy ... -9.60 eV for the cell shown


Entry 4:
Material: Sc2HClF
Method: DFT, PBE-GGA
State: optimized geometry

abc: 4.1681 4.1681 4.4920
angles: 90.00 90.00 90.00
Fractional coordinates of all 5 atoms:
Sc 0.0000 0.5000 0.0000
Sc 0.5000 0.0000 0.0000
H 0.0000 0.0000 0.0000
Cl 0.0000 0.0000 0.5000
F 0.5000 0.5000 0.5000

SG ... No. 123
Energy ... -23.97 eV for the cell shown


Entry 5:
Material: SrHClF2
Method: DFT, PBE-GGA
State: optimized geometry

abc: 5.2016 4.1791 7.2923
angles: 90.00 101.36 90.00
Fractional coordinates of all 10 atoms:
Sr 0.1799 0.2500 0.2490
Sr 0.8201 0.7500 0.7510
H 0.3608 0.2500 0.8660
H 0.6392 0.7500 0.1340
Cl 0.2639 0.7500 0.5553
Cl 0.7361 0.2500 0.4447
F 0.1218 0.2500 0.8889
F 0.4350 0.7500 0.1367
F 0.5650 0.2500 0.8633
F 0.8782 0.7500 0.1111

SG ... No. 11
Energy ... -47.26 eV for the cell shown


Entry 6:
Material: TlHClF
Method: DFT, PBE-GGA
State: optimized geometry

abc: 4.5351 4.2318 5.6393
angles: 90.00 101.73 90.00
Fractional coordinates of all 4 atoms:
Tl 0.0000 0.0000 0.0000
H 0.2259 0.5000 0.5279
Cl 0.4592 0.5000 0.8356
F 0.0854 0.5000 0.3666

SG ... No. 6
Energy ... -14.60 eV for the cell shown


Entry 7:
Material: YHClF
Method: DFT, PBE-GGA
State: optimized geometry

abc: 6.0266 6.0266 6.0266
angles: 144.29 143.60 51.91
Fractional coordinates of all 4 atoms:
Y 0.0000 0.0000 0.0000
H 0.9172 0.4172 0.5000
Cl 0.6352 0.6352 0.0000
F 0.4012 0.9012 0.5000

SG ... No. 44
Energy ... -22.15 eV for the cell shown


Entry 8:
Material: ZnHCl2F
Method: DFT, PBE-GGA
State: optimized geometry

abc: 5.7017 5.7017 3.5807
angles: 90.00 90.00 90.00
Fractional coordinates of all 5 atoms:
Zn 0.0000 0.0000 0.0000
H 0.5000 0.5000 0.0000
Cl 0.0000 0.5000 0.5000
Cl 0.5000 0.0000 0.5000
F 0.0000 0.0000 0.5000

SG ... No. 123
Energy ... -9.91 eV for the cell shown


- Look up the energy of the first one.
  -36.79 eV for the cell shown


- Which value of energy does entry 2 give?
  -12.12 eV for the cell shown